Computed, not measured: an optimized crystal structure of Pr32In3Rh19 at the GGA-PBE level of DFT.

Results
DFT formation energy, meV/atom: -579
N(E_F), states/eV/atom: 0.763
Density, kg/m3: 7917

a b c (Å): 10.066 11.911 11.911
angles (deg): 90.72 90.00 90.00
Sites, in units of the cell vectors:
Pr 0.809 0.498 0.498
Pr 0.802 0.994 0.994
Pr 0.191 0.498 0.498
Pr 0.198 0.994 0.994
Pr 0.000 0.719 0.070
Pr 0.000 0.303 0.913
Pr 0.000 0.215 0.442
Pr 0.000 0.786 0.578
Pr 0.000 0.442 0.215
Pr 0.000 0.578 0.786
Pr 0.000 0.070 0.719
Pr 0.000 0.913 0.303
Pr 0.693 0.583 0.205
Pr 0.693 0.418 0.790
Pr 0.697 0.080 0.293
Pr 0.693 0.916 0.705
Pr 0.697 0.293 0.080
Pr 0.693 0.705 0.916
Pr 0.693 0.205 0.583
Pr 0.693 0.790 0.418
Pr 0.307 0.418 0.790
Pr 0.307 0.583 0.205
Pr 0.307 0.916 0.705
Pr 0.303 0.080 0.293
Pr 0.307 0.705 0.916
Pr 0.303 0.293 0.080
Pr 0.307 0.790 0.418
Pr 0.307 0.205 0.583
Pr 0.500 0.639 0.639
Pr 0.500 0.355 0.355
Pr 0.500 0.141 0.858
Pr 0.500 0.858 0.141
In 0.500 0.497 0.998
In 0.500 0.998 0.497
In 0.000 0.165 0.165
Rh 0.773 0.674 0.674
Rh 0.784 0.320 0.320
Rh 0.775 0.178 0.826
Rh 0.775 0.826 0.178
Rh 0.216 0.320 0.320
Rh 0.227 0.674 0.674
Rh 0.225 0.826 0.178
Rh 0.225 0.178 0.826
Rh 0.500 0.107 0.107
Rh 0.500 0.895 0.895
Rh 0.500 0.600 0.393
Rh 0.500 0.393 0.600
Rh 0.841 0.505 0.998
Rh 0.841 0.998 0.505
Rh 0.159 0.505 0.998
Rh 0.159 0.998 0.505
Rh 0.000 0.852 0.852
Rh 0.000 0.653 0.356
Rh 0.000 0.356 0.653



Computed, not measured: an optimized crystal structure of PrIn8Rh4 at the GGA-PBE level of DFT.

Results
DFT formation energy, meV/atom: -377
N(E_F), states/eV/atom: 0.618
Density, kg/m3: 9242

a b c (Å): 5.824 7.339 7.339
angles (deg): 80.94 66.62 66.62
Sites, in units of the cell vectors:
Pr 0.000 0.000 0.000
In 0.000 0.336 0.664
In 0.000 0.664 0.336
In 0.336 0.664 0.664
In 0.664 0.336 0.336
In 0.500 0.778 0.222
In 0.500 0.222 0.778
In 0.278 0.222 0.222
In 0.722 0.778 0.778
Rh 0.000 0.000 0.500
Rh 0.500 0.000 0.500
Rh 0.000 0.500 0.000
Rh 0.500 0.500 0.000



Computed, not measured: an optimized crystal structure of PrIn2Rh at the GGA-PBE level of DFT.

Results
DFT formation energy, meV/atom: -587
N(E_F), states/eV/atom: 0.580
Density, kg/m3: 8450

a b c (Å): 5.645 8.029 16.421
angles (deg): 90.00 90.00 90.00
Sites, in units of the cell vectors:
Pr 0.457 0.250 0.141
Pr 0.957 0.750 0.359
Pr 0.543 0.750 0.859
Pr 0.043 0.250 0.641
Pr 0.739 0.250 0.396
Pr 0.239 0.750 0.104
Pr 0.261 0.750 0.604
Pr 0.761 0.250 0.896
In 0.959 0.050 0.214
In 0.459 0.950 0.286
In 0.041 0.550 0.786
In 0.541 0.450 0.714
In 0.041 0.950 0.786
In 0.541 0.050 0.714
In 0.959 0.450 0.214
In 0.459 0.550 0.286
In 0.749 0.551 0.037
In 0.249 0.449 0.463
In 0.251 0.051 0.963
In 0.751 0.949 0.537
In 0.251 0.449 0.963
In 0.751 0.551 0.537
In 0.749 0.949 0.037
In 0.249 0.051 0.463
Rh 0.227 0.250 0.322
Rh 0.727 0.750 0.178
Rh 0.773 0.750 0.678
Rh 0.273 0.250 0.822
Rh 0.984 0.250 0.073
Rh 0.484 0.750 0.427
Rh 0.016 0.750 0.927
Rh 0.516 0.250 0.573



Computed, not measured: an optimized crystal structure of Pr4InRh at the GGA-PBE level of DFT.

Results
DFT formation energy, meV/atom: -388
N(E_F), states/eV/atom: 1.132
Offset from the most stable computed form, meV/atom: 73
Density, kg/m3: 7098

a b c (Å): 6.178 8.664 8.457
angles (deg): 113.82 102.31 107.28
Sites, in units of the cell vectors:
Pr 0.053 0.204 0.857
Pr 0.774 0.702 0.632
Pr 0.304 0.653 0.857
Pr 0.358 0.930 0.632
Pr 0.642 0.070 0.368
Pr 0.696 0.347 0.143
Pr 0.226 0.298 0.368
Pr 0.947 0.796 0.143
In 0.371 0.621 0.241
In 0.629 0.379 0.759
Rh 0.250 0.000 0.000
Rh 0.750 0.000 0.000



Computed, not measured: an optimized crystal structure of Pr12InRh6 at the GGA-PBE level of DFT.

Results
DFT formation energy, meV/atom: -492
N(E_F), states/eV/atom: 0.946
Density, kg/m3: 7386

a b c (Å): 8.911 8.911 8.911
angles (deg): 109.47 109.47 109.47
Sites, in units of the cell vectors:
Pr 0.305 0.120 0.815
Pr 0.305 0.490 0.185
Pr 0.695 0.510 0.815
Pr 0.695 0.880 0.185
Pr 0.120 0.815 0.305
Pr 0.490 0.185 0.305
Pr 0.510 0.815 0.695
Pr 0.880 0.185 0.695
Pr 0.815 0.305 0.120
Pr 0.185 0.305 0.490
Pr 0.815 0.695 0.510
Pr 0.185 0.695 0.880
In 0.000 0.000 0.000
Rh 0.369 0.500 0.869
Rh 0.631 0.500 0.131
Rh 0.500 0.869 0.369
Rh 0.500 0.131 0.631
Rh 0.869 0.369 0.500
Rh 0.131 0.631 0.500



Computed, not measured: an optimized crystal structure of Pr8InRh2 at the GGA-PBE level of DFT.

Results
DFT formation energy, meV/atom: -288
N(E_F), states/eV/atom: 1.215
Density, kg/m3: 6994

a b c (Å): 5.682 8.328 8.328
angles (deg): 115.60 97.77 97.77
Sites, in units of the cell vectors:
Pr 0.939 0.919 0.670
Pr 0.939 0.670 0.919
Pr 0.307 0.605 0.605
Pr 0.500 0.753 0.247
Pr 0.500 0.247 0.753
Pr 0.693 0.395 0.395
Pr 0.061 0.330 0.081
Pr 0.061 0.081 0.330
In 0.500 0.000 0.000
Rh 0.000 0.293 0.707
Rh 0.000 0.707 0.293



Computed, not measured: an optimized crystal structure of PrIn2Rh at the GGA-PBE level of DFT.

Results
DFT formation energy, meV/atom: -406
N(E_F), states/eV/atom: 0.911
Density, kg/m3: 8707

a b c (Å): 3.422 3.422 7.710
angles (deg): 90.00 90.00 90.00
Sites, in units of the cell vectors:
Pr 0.500 0.500 0.500
Rh 0.500 0.500 0.000
In 0.000 0.000 0.804
In 0.000 0.000 0.196



Computed, not measured: an optimized crystal structure of PrIn2Rh at the GGA-PBE level of DFT.

Results
DFT formation energy, meV/atom: 36
N(E_F), states/eV/atom: 0.794
Density, kg/m3: 7666

a b c (Å): 3.367 3.367 10.626
angles (deg): 80.88 80.88 60.00
Sites, in units of the cell vectors:
Pr 0.000 0.000 0.000
Rh 0.500 0.500 0.500
In 0.105 0.105 0.686
In 0.895 0.895 0.314



Computed, not measured: an optimized crystal structure of PrIn4Rh4 at the GGA-PBE level of DFT.

Results
DFT formation energy, meV/atom: -296
N(E_F), states/eV/atom: 0.632
Density, kg/m3: 8919

a b c (Å): 6.558 6.558 8.760
angles (deg): 90.00 90.00 90.00
Sites, in units of the cell vectors:
Pr 0.000 0.000 0.000
Pr 0.500 0.500 0.500
In 0.228 0.500 0.900
In 0.772 0.500 0.900
In 0.500 0.772 0.100
In 0.500 0.228 0.100
In 0.000 0.728 0.400
In 0.000 0.272 0.400
In 0.272 0.000 0.600
In 0.728 0.000 0.600
Rh 0.500 0.765 0.783
Rh 0.500 0.235 0.783
Rh 0.765 0.500 0.217
Rh 0.235 0.500 0.217
Rh 0.265 0.000 0.283
Rh 0.735 0.000 0.283
Rh 0.000 0.265 0.717
Rh 0.000 0.735 0.717



Computed, not measured: an optimized crystal structure of PrIn3Rh4 at the GGA-PBE level of DFT.

Results
DFT formation energy, meV/atom: -517
N(E_F), states/eV/atom: 0.173
Density, kg/m3: 10186

a b c (Å): 4.608 6.887 9.216
angles (deg): 90.00 90.00 90.00
Sites, in units of the cell vectors:
Pr 0.000 0.500 0.000
Pr 0.000 0.500 0.500
Rh 0.500 0.769 0.000
Rh 0.500 0.769 0.500
Rh 0.500 0.231 0.000
Rh 0.500 0.231 0.500
Rh 0.000 0.769 0.750
Rh 0.000 0.769 0.250
Rh 0.000 0.231 0.250
Rh 0.000 0.231 0.750
In 0.000 0.000 0.000
In 0.000 0.000 0.500
In 0.500 0.000 0.750
In 0.500 0.000 0.250
In 0.500 0.500 0.750
In 0.500 0.500 0.250



Computed, not measured: an optimized crystal structure of PrInSbRh3 at the GGA-PBE level of DFT.

Results
N(E_F), states/eV/atom: 0.646
Energy relative to the elements, uncorrected, eV per atom: -0.399
Density, kg/m3: 8098

a b c (Å): 5.746 5.720 9.027
angles (deg): 108.47 90.00 90.00
Sites, in units of the cell vectors:
Pr 0.750 0.274 0.547
Pr 0.250 0.726 0.453
In 0.250 0.394 0.787
In 0.750 0.606 0.213
Sb 0.250 0.089 0.179
Sb 0.750 0.911 0.821
Rh 0.250 0.240 0.480
Rh 0.000 0.261 0.000
Rh 0.500 0.739 0.000
Rh 0.500 0.261 0.000
Rh 0.000 0.739 0.000
Rh 0.750 0.760 0.520



Computed, not measured: an optimized crystal structure of Pr2InSi2Rh5 at the GGA-PBE level of DFT.

Results
N(E_F), states/eV/atom: 0.328
Energy relative to the elements, uncorrected, eV per atom: -0.840
Density, kg/m3: 8977

a b c (Å): 3.538 10.057 10.057
angles (deg): 90.00 90.00 90.00
Sites, in units of the cell vectors:
Pr 0.000 0.677 0.177
Pr 0.000 0.323 0.823
Pr 0.000 0.177 0.323
Pr 0.000 0.823 0.677
In 0.000 0.000 0.000
In 0.000 0.500 0.500
Si 0.000 0.120 0.620
Si 0.000 0.880 0.380
Si 0.000 0.620 0.880
Si 0.000 0.380 0.120
Rh 0.500 0.222 0.068
Rh 0.500 0.778 0.932
Rh 0.500 0.068 0.778
Rh 0.500 0.722 0.432
Rh 0.500 0.932 0.222
Rh 0.500 0.278 0.568
Rh 0.500 0.568 0.722
Rh 0.500 0.432 0.278
Rh 0.500 0.500 0.000
Rh 0.500 0.000 0.500



Computed, not measured: an optimized crystal structure of Pr2InSiRh6 at the GGA-PBE level of DFT.

Results
N(E_F), states/eV/atom: 0.794
Energy relative to the elements, uncorrected, eV per atom: -0.501
Density, kg/m3: 9206

a b c (Å): 5.583 8.799 6.677
angles (deg): 45.26 65.34 90.19
Sites, in units of the cell vectors:
Pr 0.750 0.256 0.499
Pr 0.250 0.744 0.501
In 0.000 0.000 0.000
Si 0.500 0.500 0.000
Rh 0.252 0.068 0.491
Rh 0.697 0.686 0.094
Rh 0.209 0.688 0.091
Rh 0.791 0.312 0.909
Rh 0.303 0.314 0.906
Rh 0.748 0.932 0.509



Computed, not measured: an optimized crystal structure of Pr2InSn2Rh5 at the GGA-PBE level of DFT.

Results
DFT formation energy, meV/atom: -520
N(E_F), states/eV/atom: 0.410
Density, kg/m3: 9466

a b c (Å): 3.739 10.382 10.382
angles (deg): 90.00 90.00 90.00
Sites, in units of the cell vectors:
Pr 0.000 0.672 0.172
Pr 0.000 0.328 0.828
Pr 0.000 0.172 0.328
Pr 0.000 0.828 0.672
In 0.000 0.000 0.000
In 0.000 0.500 0.500
Sn 0.000 0.126 0.626
Sn 0.000 0.874 0.374
Sn 0.000 0.626 0.874
Sn 0.000 0.374 0.126
Rh 0.500 0.204 0.060
Rh 0.500 0.796 0.940
Rh 0.500 0.060 0.796
Rh 0.500 0.704 0.440
Rh 0.500 0.940 0.204
Rh 0.500 0.296 0.560
Rh 0.500 0.560 0.704
Rh 0.500 0.440 0.296
Rh 0.500 0.500 0.000
Rh 0.500 0.000 0.500



Computed, not measured: an optimized crystal structure of PrInSnRh3 at the GGA-PBE level of DFT.

Results
DFT formation energy, meV/atom: -326
N(E_F), states/eV/atom: 0.476
Density, kg/m3: 8115

a b c (Å): 5.634 5.626 9.257
angles (deg): 107.69 90.00 90.00
Sites, in units of the cell vectors:
Pr 0.750 0.270 0.539
Pr 0.250 0.730 0.461
In 0.250 0.394 0.787
In 0.750 0.606 0.213
Sn 0.250 0.096 0.192
Sn 0.750 0.904 0.808
Rh 0.250 0.244 0.488
Rh 0.000 0.260 0.000
Rh 0.500 0.740 0.000
Rh 0.500 0.260 0.000
Rh 0.000 0.740 0.000
Rh 0.750 0.756 0.512



Computed, not measured: an optimized crystal structure of Pr2In2SnRh5 at the GGA-PBE level of DFT.

Results
DFT formation energy, meV/atom: -479
N(E_F), states/eV/atom: 0.382
Density, kg/m3: 9544

a b c (Å): 3.729 10.335 10.335
angles (deg): 90.00 90.00 90.00
Sites, in units of the cell vectors:
Pr 0.000 0.671 0.171
Pr 0.000 0.329 0.829
Pr 0.000 0.171 0.329
Pr 0.000 0.829 0.671
In 0.000 0.127 0.627
In 0.000 0.873 0.373
In 0.000 0.627 0.873
In 0.000 0.373 0.127
Sn 0.000 0.000 0.000
Sn 0.000 0.500 0.500
Rh 0.500 0.197 0.060
Rh 0.500 0.803 0.940
Rh 0.500 0.060 0.803
Rh 0.500 0.697 0.440
Rh 0.500 0.940 0.197
Rh 0.500 0.303 0.560
Rh 0.500 0.560 0.697
Rh 0.500 0.440 0.303
Rh 0.500 0.500 0.000
Rh 0.500 0.000 0.500



Computed, not measured: an optimized crystal structure of Pr2InSn3Rh4 at the GGA-PBE level of DFT.

Results
DFT formation energy, meV/atom: -679
N(E_F), states/eV/atom: 0.767
Density, kg/m3: 8822

a b c (Å): 4.491 4.491 10.864
angles (deg): 90.00 90.00 90.00
Sites, in units of the cell vectors:
Pr 0.500 0.000 0.247
Pr 0.000 0.500 0.753
In 0.500 0.500 0.500
Sn 0.000 0.000 0.500
Sn 0.500 0.000 0.871
Sn 0.000 0.500 0.129
Rh 0.500 0.500 0.000
Rh 0.000 0.000 0.000
Rh 0.500 0.000 0.635
Rh 0.000 0.500 0.365